# PBE-GGA Zn6Ga5, relaxed
data_Zn6Ga5
_chemical_formula_sum 'Zn6 Ga5'
_symmetry_space_group_name_H-M 'P 1'
_symmetry_Int_Tables_number 1
_cell_length_a 6.689
_cell_length_b 6.626
_cell_length_c 5.247
_cell_angle_alpha 80.52
_cell_angle_beta 70.96
_cell_angle_gamma 59.69
loop_
_symmetry_equiv_pos_as_xyz
'x,y,z'
loop_
_atom_site_label
_atom_site_type_symbol
_atom_site_fract_x
_atom_site_fract_y
_atom_site_fract_z
_atom_site_occupancy
Zn1 Zn 0.827 0.000 0.728 1
Zn2 Zn 0.173 0.000 0.272 1
Zn3 Zn 0.297 0.755 0.804 1
Zn4 Zn 0.949 0.755 0.196 1
Zn5 Zn 0.703 0.245 0.196 1
Zn6 Zn 0.051 0.245 0.804 1
Ga1 Ga 0.500 0.000 0.500 1
Ga2 Ga 0.350 0.301 0.000 1
Ga3 Ga 0.650 0.699 0.000 1
Ga4 Ga 0.239 0.522 0.500 1
Ga5 Ga 0.761 0.478 0.500 1
# Space group: C2/m (12)
# DFT formation energy: 0.048 eV per atom
# Total moment: 0.00 μB/f.u.